Entry 1:
# Zr5Sb3Se

An optimized crystal structure of Zr5Sb3Se (GGA-PBEsol, the Alexandria database).

Cell: 8.4571 8.4571 6.0636 Å, 90.00 90.00 120.00°
Space group P6_3/mcm (No. 193)
Asymmetric unit:
Zr 0.0000 0.2608 0.2500 [6 per cell]
Zr 0.3333 0.6667 0.0000 [4 per cell]
Sb 0.0000 0.3953 0.7500 [6 per cell]
Se 0.0000 0.0000 0.0000 [2 per cell]

Electronic total energy ... -142.78 eV/cell
DOS at the Fermi energy ... 0.70 states/eV/atom
Formation energy (no corrections) ... -0.94 eV/atom
Crystal system ... hexagonal
Size of the total moment ... 0.00 Bohr magnetons per cell

---

Entry 2:
# ZrSbSe3

An optimized crystal structure of ZrSbSe3 (GGA-PBEsol, the Alexandria database).

Cell: 5.1407 5.1407 5.1407 Å, 90.00 90.00 90.00°
Space group Pm-3m (No. 221)
Asymmetric unit:
Zr 0.0000 0.0000 0.0000 [1 per cell]
Sb 0.5000 0.5000 0.5000 [1 per cell]
Se 0.0000 0.5000 0.5000 [3 per cell]

Electronic total energy ... -23.15 eV/cell
DOS at the Fermi energy ... 1.05 states/eV/atom
Formation energy (no corrections) ... 0.41 eV/atom
Crystal system ... cubic
Size of the total moment ... 1.23 Bohr magnetons per cell
E above lowest polymorph ... 689.0 meV per atom

---

Entry 3:
# ZrSbSe2

An optimized crystal structure of ZrSbSe2 (GGA-PBEsol, the Alexandria database).

Cell: 9.6132 3.4840 5.9284 Å, 90.00 105.32 90.00°
Space group Cm (No. 8)
Asymmetric unit:
Zr 0.0000 0.0000 0.0000 [2 per cell]
Sb 0.3190 0.0000 0.5979 [2 per cell]
Se 0.0077 0.5000 0.3433 [2 per cell]
Se 0.2025 0.5000 0.9700 [2 per cell]

Electronic total energy ... -48.53 eV/cell
DOS at the Fermi energy ... 0.57 states/eV/atom
Formation energy (no corrections) ... -0.73 eV/atom
Crystal system ... monoclinic
Size of the total moment ... 0.00 Bohr magnetons per cell

---

Entry 4:
# Si2Sb

An optimized crystal structure of Si2Sb (GGA-PBEsol, the Alexandria database).

Cell: 12.7358 3.6278 6.1787 Å, 90.00 118.89 90.00°
Space group C2/m (No. 12)
Asymmetric unit:
Si 0.0262 0.0000 0.3403 [4 per cell]
Si 0.1688 0.5000 0.3983 [4 per cell]
Sb 0.1447 0.5000 0.9516 [4 per cell]

Electronic total energy ... -61.67 eV/cell
DOS at the Fermi energy ... 0.30 states/eV/atom
Formation energy (no corrections) ... 0.21 eV/atom
Crystal system ... monoclinic
Size of the total moment ... 0.00 Bohr magnetons per cell
E above lowest polymorph ... 0.0 meV per atom

---

Entry 5:
# Si2Sb

An optimized crystal structure of Si2Sb (GGA-PBEsol, the Alexandria database).

Cell: 3.7900 3.7900 4.7582 Å, 90.00 90.00 120.00°
Space group P-3m1 (No. 164)
Asymmetric unit:
Si 0.3333 0.6667 0.1168 [2 per cell]
Sb 0.0000 0.0000 0.5000 [1 per cell]

Electronic total energy ... -15.38 eV/cell
DOS at the Fermi energy ... 0.46 states/eV/atom
Formation energy (no corrections) ... 0.22 eV/atom
Crystal system ... trigonal
Size of the total moment ... 0.00 Bohr magnetons per cell
E above lowest polymorph ... 11.0 meV per atom

---

Entry 6:
# SiSb5

An optimized crystal structure of SiSb5 (GGA-PBEsol, the Alexandria database).

Cell: 8.6150 8.6150 8.6150 Å, 90.00 90.00 90.00°
Space group F-43m (No. 216)
Asymmetric unit:
Si 0.0000 0.0000 0.0000 [4 per cell]
Sb 0.1249 0.1249 0.3751 [16 per cell]
Sb 0.2500 0.2500 0.7500 [4 per cell]

Electronic total energy ... -99.41 eV/cell
DOS at the Fermi energy ... 0.70 states/eV/atom
Formation energy (no corrections) ... 0.61 eV/atom
Crystal system ... cubic
Size of the total moment ... 0.00 Bohr magnetons per cell

---

Entry 7:
# Si2Sb

An optimized crystal structure of Si2Sb (GGA-PBEsol, the Alexandria database).

Cell: 3.8820 3.8820 15.5480 Å, 90.00 90.00 90.00°
Space group I4_1/amd (No. 141, origin choice 2)
Asymmetric unit:
Si 0.0000 0.2500 0.2966 [8 per cell]
Sb 0.0000 0.2500 0.8750 [4 per cell]

Electronic total energy ... -59.43 eV/cell
DOS at the Fermi energy ... 0.50 states/eV/atom
Formation energy (no corrections) ... 0.40 eV/atom
Crystal system ... tetragonal
Size of the total moment ... 0.00 Bohr magnetons per cell
E above lowest polymorph ... 186.3 meV per atom

---

Entry 8:
# Si2Sb

An optimized crystal structure of Si2Sb (GGA-PBEsol, the Alexandria database).

Cell: 3.2954 3.2954 12.0855 Å, 90.00 90.00 90.00°
Space group I4/mmm (No. 139)
Asymmetric unit:
Si 0.0000 0.0000 0.2238 [4 per cell]
Sb 0.0000 0.0000 0.0000 [2 per cell]

Electronic total energy ... -30.12 eV/cell
DOS at the Fermi energy ... 0.62 states/eV/atom
Formation energy (no corrections) ... 0.33 eV/atom
Crystal system ... tetragonal
Size of the total moment ... 0.00 Bohr magnetons per cell
E above lowest polymorph ... 119.3 meV per atom

---

Entry 9:
# Si2Sb

An optimized crystal structure of Si2Sb (GGA-PBEsol, the Alexandria database).

Cell: 4.8703 4.8703 5.5732 Å, 90.00 90.00 120.00°
Space group P6_3/mmc (No. 194)
Asymmetric unit:
Si 0.0000 0.0000 0.0000 [2 per cell]
Si 0.3333 0.6667 0.2500 [2 per cell]
Sb 0.3333 0.6667 0.7500 [2 per cell]

Electronic total energy ... -28.97 eV/cell
DOS at the Fermi energy ... 0.48 states/eV/atom
Formation energy (no corrections) ... 0.52 eV/atom
Crystal system ... hexagonal
Size of the total moment ... 0.00 Bohr magnetons per cell
E above lowest polymorph ... 311.2 meV per atom

---

Entry 10:
# Si2Sb

An optimized crystal structure of Si2Sb (GGA-PBEsol, the Alexandria database).

Cell: 4.2123 4.2123 3.7439 Å, 90.00 90.00 120.00°
Space group P6/mmm (No. 191)
Asymmetric unit:
Si 0.3333 0.6667 0.0000 [2 per cell]
Sb 0.0000 0.0000 0.5000 [1 per cell]

Electronic total energy ... -14.84 eV/cell
DOS at the Fermi energy ... 0.45 states/eV/atom
Formation energy (no corrections) ... 0.40 eV/atom
Crystal system ... hexagonal
Size of the total moment ... 0.00 Bohr magnetons per cell
E above lowest polymorph ... 192.5 meV per atom

---

Entry 11:
# Si4Sb5

An optimized crystal structure of Si4Sb5 (GGA-PBEsol, the Alexandria database).

Cell: 10.5126 10.5126 3.5255 Å, 90.00 90.00 90.00°
Space group I4/mmm (No. 139)
Asymmetric unit:
Si 0.0000 0.3681 0.0000 [8 per cell]
Sb 0.0000 0.0000 0.0000 [2 per cell]
Sb 0.1670 0.1670 0.5000 [8 per cell]

Electronic total energy ... -84.26 eV/cell
DOS at the Fermi energy ... 0.49 states/eV/atom
Formation energy (no corrections) ... 0.40 eV/atom
Crystal system ... tetragonal
Size of the total moment ... 0.00 Bohr magnetons per cell

---

Entry 12:
# SiSnSb2

An optimized crystal structure of SiSnSb2 (GGA-PBEsol, the Alexandria database).

Cell: 8.0329 8.0329 6.1050 Å, 90.00 90.00 90.00°
Space group I-42d (No. 122)
Asymmetric unit:
Si 0.0000 0.0000 0.0000 [4 per cell]
Sn 0.0000 0.0000 0.5000 [4 per cell]
Sb 0.2260 0.7500 0.1250 [8 per cell]

Electronic total energy ... -73.50 eV/cell
DOS at the Fermi energy ... 0.50 states/eV/atom
Formation energy (no corrections) ... 0.19 eV/atom
Crystal system ... tetragonal
Size of the total moment ... 0.00 Bohr magnetons per cell

---

Entry 13:
# SrSiSb2

An optimized crystal structure of SrSiSb2 (GGA-PBEsol, the Alexandria database).

Cell: 4.4511 4.4511 10.3171 Å, 90.00 90.00 90.00°
Space group I-4m2 (No. 119)
Asymmetric unit:
Sr 0.0000 0.0000 0.0000 [2 per cell]
Si 0.0000 0.5000 0.7500 [2 per cell]
Sb 0.0000 0.0000 0.5000 [2 per cell]
Sb 0.0000 0.5000 0.2500 [2 per cell]

Electronic total energy ... -34.57 eV/cell
DOS at the Fermi energy ... 0.52 states/eV/atom
Formation energy (no corrections) ... -0.15 eV/atom
Crystal system ... tetragonal
Size of the total moment ... 0.00 Bohr magnetons per cell

---

Entry 14:
# Sr2SiSb

An optimized crystal structure of Sr2SiSb (GGA-PBEsol, the Alexandria database).

Cell: 8.5874 8.5874 6.6080 Å, 90.00 90.00 90.00°
Space group I-42d (No. 122)
Asymmetric unit:
Sr 0.2350 0.7500 0.1250 [8 per cell]
Si 0.0000 0.0000 0.0000 [4 per cell]
Sb 0.0000 0.0000 0.5000 [4 per cell]

Electronic total energy ... -59.62 eV/cell
DOS at the Fermi energy ... 0.83 states/eV/atom
Formation energy (no corrections) ... -0.23 eV/atom
Crystal system ... tetragonal
Size of the total moment ... 0.00 Bohr magnetons per cell
E above lowest polymorph ... 282.4 meV per atom